a.
The following is a PBE calculation of a geometry-optimized In2Ir2Au structure, from the Alexandria database.

Computed properties:
Total moment (μB per formula unit): 0.000

CIF file:
```
data_In2Ir2Au
_chemical_formula_sum 'In4 Ir4 Au2'
_space_group_name_H-M_alt 'P 4/m b m'
_space_group_IT_number 127
_space_group_name_Hall '-P 4 2ab'
_cell_length_a 7.5818
_cell_length_b 7.5818
_cell_length_c 3.1868
_cell_angle_alpha 90.00
_cell_angle_beta 90.00
_cell_angle_gamma 90.00
loop_
_atom_site_label
_atom_site_type_symbol
_atom_site_fract_x
_atom_site_fract_y
_atom_site_fract_z
_atom_site_occupancy
In1 In 0.1633 0.3367 0.0000 1
Ir1 Ir 0.1357 0.6357 0.5000 1
Au1 Au 0.0000 0.0000 0.5000 1
```

b.
The following is a PBE calculation of a geometry-optimized In2Ir2Au structure, from the Alexandria database.

Computed properties:
Total moment (μB per formula unit): 0.000

CIF file:
```
data_In2Ir2Au
_chemical_formula_sum 'In4 Ir4 Au2'
_space_group_name_H-M_alt 'P 4/m b m'
_space_group_IT_number 127
_space_group_name_Hall '-P 4 2ab'
_cell_length_a 7.7956
_cell_length_b 7.7956
_cell_length_c 3.0354
_cell_angle_alpha 90.00
_cell_angle_beta 90.00
_cell_angle_gamma 90.00
loop_
_atom_site_label
_atom_site_type_symbol
_atom_site_fract_x
_atom_site_fract_y
_atom_site_fract_z
_atom_site_occupancy
In1 In 0.1509 0.3491 0.0000 1
Ir1 Ir 0.1461 0.6461 0.5000 1
Au1 Au 0.0000 0.0000 0.0000 1
```

Result of the stability comparison: a is the most stable of them.

a.
The following is a PBE calculation of a geometry-optimized InIrAu3 structure, from the Alexandria database.

Computed properties:
Total moment (μB per formula unit): 0.000

CIF file:
```
data_InIrAu3
_chemical_formula_sum 'In1 Ir1 Au3'
_space_group_name_H-M_alt 'P m -3 m'
_space_group_IT_number 221
_space_group_name_Hall '-P 4 2 3'
_cell_length_a 5.0893
_cell_length_b 5.0893
_cell_length_c 5.0893
_cell_angle_alpha 90.00
_cell_angle_beta 90.00
_cell_angle_gamma 90.00
loop_
_atom_site_label
_atom_site_type_symbol
_atom_site_fract_x
_atom_site_fract_y
_atom_site_fract_z
_atom_site_occupancy
In1 In 0.0000 0.0000 0.0000 1
Ir1 Ir 0.5000 0.5000 0.5000 1
Au1 Au 0.0000 0.5000 0.5000 1
```

b.
The following is a PBE calculation of a geometry-optimized InIrAu3 structure, from the Alexandria database.

Computed properties:
Total moment (μB per formula unit): 0.904

CIF file:
```
data_InIrAu3
_chemical_formula_sum 'In1 Ir1 Au3'
_space_group_name_H-M_alt 'P m -3 m'
_space_group_IT_number 221
_space_group_name_Hall '-P 4 2 3'
_cell_length_a 5.0316
_cell_length_b 5.0316
_cell_length_c 5.0316
_cell_angle_alpha 90.00
_cell_angle_beta 90.00
_cell_angle_gamma 90.00
loop_
_atom_site_label
_atom_site_type_symbol
_atom_site_fract_x
_atom_site_fract_y
_atom_site_fract_z
_atom_site_occupancy
In1 In 0.0000 0.0000 0.0000 1
Ir1 Ir 0.5000 0.5000 0.5000 1
Au1 Au 0.0000 0.0000 0.5000 1
```

Result of the stability comparison: a is the most stable of them.

a.
The following is a PBE calculation of a geometry-optimized MgInIrAu structure, from the Alexandria database.

Computed properties:
Total moment (μB per formula unit): 0.000

CIF file:
```
data_MgInIrAu
_chemical_formula_sum 'Mg4 In4 Ir4 Au4'
_space_group_name_H-M_alt 'F -4 3 m'
_space_group_IT_number 216
_space_group_name_Hall 'F -4 2 3'
_cell_length_a 6.5439
_cell_length_b 6.5439
_cell_length_c 6.5439
_cell_angle_alpha 90.00
_cell_angle_beta 90.00
_cell_angle_gamma 90.00
loop_
_atom_site_label
_atom_site_type_symbol
_atom_site_fract_x
_atom_site_fract_y
_atom_site_fract_z
_atom_site_occupancy
Mg1 Mg 0.0000 0.0000 0.0000 1
In1 In 0.0000 0.0000 0.5000 1
Ir1 Ir 0.2500 0.2500 0.7500 1
Au1 Au 0.2500 0.2500 0.2500 1
```

b.
The following is a PBE calculation of a geometry-optimized MgInIrAu structure, from the Alexandria database.

Computed properties:
Total moment (μB per formula unit): 0.000

CIF file:
```
data_MgInIrAu
_chemical_formula_sum 'Mg1 In1 Ir1 Au1'
_space_group_name_H-M_alt 'P 4 m m'
_space_group_IT_number 99
_cell_length_a 3.1551
_cell_length_b 3.1551
_cell_length_c 7.0896
_cell_angle_alpha 90.00
_cell_angle_beta 90.00
_cell_angle_gamma 90.00
loop_
_space_group_symop_operation_xyz
'x,y,z'
'-y,x,z'
'-x,-y,z'
'y,-x,z'
'-x,y,z'
'y,x,z'
'x,-y,z'
'-y,-x,z'
loop_
_atom_site_label
_atom_site_type_symbol
_atom_site_fract_x
_atom_site_fract_y
_atom_site_fract_z
_atom_site_occupancy
Mg1 Mg 0.0000 0.0000 0.0000 1
In1 In 0.0000 0.0000 0.4616 1
Ir1 Ir 0.5000 0.5000 0.2248 1
Au1 Au 0.5000 0.5000 0.7502 1
```

Result of the stability comparison: b is the most stable of them.

a.
The following is a PBE calculation of a geometry-optimized KIn2Au2 structure, from the Alexandria database.

Computed properties:
Total moment (μB per formula unit): 0.000

CIF file:
```
data_KIn2Au2
_chemical_formula_sum 'K2 In4 Au4'
_space_group_name_H-M_alt 'I 4/m m m'
_space_group_IT_number 139
_space_group_name_Hall '-I 4 2'
_cell_length_a 4.8390
_cell_length_b 4.8390
_cell_length_c 11.5584
_cell_angle_alpha 90.00
_cell_angle_beta 90.00
_cell_angle_gamma 90.00
loop_
_atom_site_label
_atom_site_type_symbol
_atom_site_fract_x
_atom_site_fract_y
_atom_site_fract_z
_atom_site_occupancy
K1 K 0.0000 0.0000 0.0000 1
In1 In 0.0000 0.5000 0.2500 1
Au1 Au 0.0000 0.0000 0.3808 1
```

b.
The following is a PBE calculation of a geometry-optimized KIn2Au2 structure, from the Alexandria database.

Computed properties:
Total moment (μB per formula unit): 0.000

CIF file:
```
data_KIn2Au2
_chemical_formula_sum 'K2 In4 Au4'
_space_group_name_H-M_alt 'P 4/m b m'
_space_group_IT_number 127
_space_group_name_Hall '-P 4 2ab'
_cell_length_a 8.6151
_cell_length_b 8.6151
_cell_length_c 3.3087
_cell_angle_alpha 90.00
_cell_angle_beta 90.00
_cell_angle_gamma 90.00
loop_
_atom_site_label
_atom_site_type_symbol
_atom_site_fract_x
_atom_site_fract_y
_atom_site_fract_z
_atom_site_occupancy
K1 K 0.0000 0.0000 0.0000 1
In1 In 0.1274 0.3726 0.0000 1
Au1 Au 0.1712 0.6712 0.5000 1
```

c.
The following is a PBE calculation of a geometry-optimized KIn2Au2 structure, from the Alexandria database.

Computed properties:
Total moment (μB per formula unit): 0.000

CIF file:
```
data_KIn2Au2
_chemical_formula_sum 'K2 In4 Au4'
_space_group_name_H-M_alt 'I 4/m m m'
_space_group_IT_number 139
_space_group_name_Hall '-I 4 2'
_cell_length_a 5.1765
_cell_length_b 5.1765
_cell_length_c 10.3983
_cell_angle_alpha 90.00
_cell_angle_beta 90.00
_cell_angle_gamma 90.00
loop_
_atom_site_label
_atom_site_type_symbol
_atom_site_fract_x
_atom_site_fract_y
_atom_site_fract_z
_atom_site_occupancy
K1 K 0.0000 0.0000 0.0000 1
In1 In 0.0000 0.0000 0.3547 1
Au1 Au 0.0000 0.5000 0.2500 1
```

Result of the stability comparison: a is the most stable of them.

a.
The following is a PBE calculation of a geometry-optimized KIn2Au2 structure, from the Alexandria database.

Computed properties:
Total moment (μB per formula unit): 0.000

CIF file:
```
data_KIn2Au2
_chemical_formula_sum 'K2 In4 Au4'
_space_group_name_H-M_alt 'P -1'
_space_group_IT_number 2
_cell_length_a 6.6130
_cell_length_b 6.7994
_cell_length_c 7.9121
_cell_angle_alpha 115.35
_cell_angle_beta 107.41
_cell_angle_gamma 94.11
loop_
_space_group_symop_operation_xyz
'x,y,z'
'-x,-y,-z'
loop_
_atom_site_label
_atom_site_type_symbol
_atom_site_fract_x
_atom_site_fract_y
_atom_site_fract_z
_atom_site_occupancy
K1 K 0.1477 0.2830 0.3525 1
In1 In 0.2258 0.4255 0.9219 1
In2 In 0.3973 0.0153 0.6908 1
Au1 Au 0.2131 0.7525 0.2831 1
Au2 Au 0.4548 0.7492 0.8764 1
```

b.
The following is a PBE calculation of a geometry-optimized KIn2Au2 structure, from the Alexandria database.

Computed properties:
Total moment (μB per formula unit): 0.000

CIF file:
```
data_KIn2Au2
_chemical_formula_sum 'K2 In4 Au4'
_space_group_name_H-M_alt 'P 1 21/m 1'
_space_group_IT_number 11
_cell_length_a 5.1062
_cell_length_b 4.9435
_cell_length_c 10.6575
_cell_angle_alpha 90.00
_cell_angle_beta 92.38
_cell_angle_gamma 90.00
loop_
_space_group_symop_operation_xyz
'x,y,z'
'-x,-y,-z'
'-x,y+1/2,-z'
'x,-y+1/2,z'
loop_
_atom_site_label
_atom_site_type_symbol
_atom_site_fract_x
_atom_site_fract_y
_atom_site_fract_z
_atom_site_occupancy
K1 K 0.2378 0.2500 0.2459 1
In1 In 0.2445 0.7500 0.4985 1
In2 In 0.3168 0.2500 0.8891 1
Au1 Au 0.1754 0.7500 0.9997 1
Au2 Au 0.2665 0.2500 0.6276 1
```

Result of the stability comparison: b is the most stable of them.

a.
The following is a PBE calculation of a geometry-optimized K2InAu2 structure, from the Alexandria database.

Computed properties:
Total moment (μB per formula unit): 0.000

CIF file:
```
data_K2InAu2
_chemical_formula_sum 'K4 In2 Au4'
_space_group_name_H-M_alt 'P 4/m b m'
_space_group_IT_number 127
_space_group_name_Hall '-P 4 2ab'
_cell_length_a 7.5856
_cell_length_b 7.5856
_cell_length_c 5.1736
_cell_angle_alpha 90.00
_cell_angle_beta 90.00
_cell_angle_gamma 90.00
loop_
_atom_site_label
_atom_site_type_symbol
_atom_site_fract_x
_atom_site_fract_y
_atom_site_fract_z
_atom_site_occupancy
K1 K 0.1692 0.3308 0.0000 1
In1 In 0.0000 0.0000 0.5000 1
Au1 Au 0.1353 0.6353 0.5000 1
```

b.
The following is a PBE calculation of a geometry-optimized K2InAu2 structure, from the Alexandria database.

Computed properties:
Total moment (μB per formula unit): 0.000

CIF file:
```
data_K2InAu2
_chemical_formula_sum 'K4 In2 Au4'
_space_group_name_H-M_alt 'I 4/m m m'
_space_group_IT_number 139
_space_group_name_Hall '-I 4 2'
_cell_length_a 4.8499
_cell_length_b 4.8499
_cell_length_c 14.0649
_cell_angle_alpha 90.00
_cell_angle_beta 90.00
_cell_angle_gamma 90.00
loop_
_atom_site_label
_atom_site_type_symbol
_atom_site_fract_x
_atom_site_fract_y
_atom_site_fract_z
_atom_site_occupancy
K1 K 0.0000 0.5000 0.2500 1
In1 In 0.0000 0.0000 0.0000 1
Au1 Au 0.0000 0.0000 0.4036 1
```

Result of the stability comparison: a is the most stable of them.

a.
The following is a PBE calculation of a geometry-optimized K2InAu2 structure, from the Alexandria database.

Computed properties:
Total moment (μB per formula unit): 0.000

CIF file:
```
data_K2InAu2
_chemical_formula_sum 'K4 In2 Au4'
_space_group_name_H-M_alt 'I m m m'
_space_group_IT_number 71
_space_group_name_Hall '-I 2 2'
_cell_length_a 4.2746
_cell_length_b 6.6929
_cell_length_c 10.7301
_cell_angle_alpha 90.00
_cell_angle_beta 90.00
_cell_angle_gamma 90.00
loop_
_atom_site_label
_atom_site_type_symbol
_atom_site_fract_x
_atom_site_fract_y
_atom_site_fract_z
_atom_site_occupancy
K1 K 0.0000 0.0000 0.2076 1
In1 In 0.0000 0.5000 0.0000 1
Au1 Au 0.0000 0.2874 0.5000 1
```

b.
The following is a PBE calculation of a geometry-optimized K2InAu2 structure, from the Alexandria database.

Computed properties:
Total moment (μB per formula unit): 0.000

CIF file:
```
data_K2InAu2
_chemical_formula_sum 'K4 In2 Au4'
_space_group_name_H-M_alt 'P 4/m b m'
_space_group_IT_number 127
_space_group_name_Hall '-P 4 2ab'
_cell_length_a 9.5331
_cell_length_b 9.5331
_cell_length_c 3.3925
_cell_angle_alpha 90.00
_cell_angle_beta 90.00
_cell_angle_gamma 90.00
loop_
_atom_site_label
_atom_site_type_symbol
_atom_site_fract_x
_atom_site_fract_y
_atom_site_fract_z
_atom_site_occupancy
K1 K 0.1348 0.3652 0.0000 1
In1 In 0.0000 0.0000 0.0000 1
Au1 Au 0.1643 0.6643 0.5000 1
```

Result of the stability comparison: a is the most stable of them.

a.
The following is a PBE calculation of a geometry-optimized KInAu3 structure, from the Alexandria database.

Computed properties:
Total moment (μB per formula unit): 0.000

CIF file:
```
data_KInAu3
_chemical_formula_sum 'K1 In1 Au3'
_space_group_name_H-M_alt 'P m -3 m'
_space_group_IT_number 221
_space_group_name_Hall '-P 4 2 3'
_cell_length_a 5.7854
_cell_length_b 5.7854
_cell_length_c 5.7854
_cell_angle_alpha 90.00
_cell_angle_beta 90.00
_cell_angle_gamma 90.00
loop_
_atom_site_label
_atom_site_type_symbol
_atom_site_fract_x
_atom_site_fract_y
_atom_site_fract_z
_atom_site_occupancy
K1 K 0.0000 0.0000 0.0000 1
In1 In 0.5000 0.5000 0.5000 1
Au1 Au 0.0000 0.0000 0.5000 1
```

b.
The following is a PBE calculation of a geometry-optimized KInAu3 structure, from the Alexandria database.

Computed properties:
Total moment (μB per formula unit): 0.000

CIF file:
```
data_KInAu3
_chemical_formula_sum 'K1 In1 Au3'
_space_group_name_H-M_alt 'P m -3 m'
_space_group_IT_number 221
_space_group_name_Hall '-P 4 2 3'
_cell_length_a 5.3431
_cell_length_b 5.3431
_cell_length_c 5.3431
_cell_angle_alpha 90.00
_cell_angle_beta 90.00
_cell_angle_gamma 90.00
loop_
_atom_site_label
_atom_site_type_symbol
_atom_site_fract_x
_atom_site_fract_y
_atom_site_fract_z
_atom_site_occupancy
K1 K 0.0000 0.0000 0.0000 1
In1 In 0.5000 0.5000 0.5000 1
Au1 Au 0.0000 0.5000 0.5000 1
```

Result of the stability comparison: b is the most stable of them.